[1]
Density functional theory data (PBE) for crystalline Pm2TlTe at its relaxed geometry.

```
data_Pm2TlTe
_chemical_formula_sum 'Pm2 Tl1 Te1'
_cell_length_a 3.751
_cell_length_b 3.751
_cell_length_c 8.308
_cell_angle_alpha 90.00
_cell_angle_beta 90.00
_cell_angle_gamma 90.00
_space_group_name_H-M_alt 'P 4/m m m'
_space_group_IT_number 123
_space_group_name_Hall '-P 4 2'
loop_
_atom_site_label
_atom_site_fract_x
_atom_site_fract_y
_atom_site_fract_z
Pm1 0.000 0.000 0.239
Tl1 0.500 0.500 0.500
Te1 0.500 0.500 0.000
```

VASP energy (eV/atom): -4.53
Distance to the lowest polymorph of the same formula (meV per atom): 148
Size of the total moment (μB/atom): 0.000

***

[2]
Density functional theory data (PBE) for crystalline PmTlTe at its relaxed geometry.

```
data_PmTlTe
_chemical_formula_sum 'Pm4 Tl4 Te4'
_cell_length_a 9.201
_cell_length_b 6.319
_cell_length_c 6.319
_cell_angle_alpha 90.00
_cell_angle_beta 90.00
_cell_angle_gamma 90.00
_space_group_name_H-M_alt 'A e m 2'
_space_group_IT_number 39
_space_group_name_Hall 'A 2 -2b'
loop_
_atom_site_label
_atom_site_fract_x
_atom_site_fract_y
_atom_site_fract_z
Pm1 0.196 0.250 0.000
Tl1 0.500 0.000 0.251
Te1 0.152 0.250 0.500
```

VASP energy (eV/atom): -4.27
Distance to the lowest polymorph of the same formula (meV per atom): 0
Size of the total moment (μB/atom): 0.000

***

[3]
Density functional theory data (PBE) for crystalline Pm2TlTe4 at its relaxed geometry.

```
data_Pm2TlTe4
_chemical_formula_sum 'Pm8 Tl4 Te16'
_cell_length_a 4.472
_cell_length_b 15.354
_cell_length_c 15.034
_cell_angle_alpha 90.00
_cell_angle_beta 90.00
_cell_angle_gamma 90.00
_space_group_name_H-M_alt 'C m c m'
_space_group_IT_number 63
_space_group_name_Hall '-C 2c 2'
loop_
_atom_site_label
_atom_site_fract_x
_atom_site_fract_y
_atom_site_fract_z
Pm1 0.000 0.137 0.057
Tl1 0.000 0.415 0.250
Te1 0.000 0.065 0.250
Te2 0.000 0.238 0.625
Te3 0.000 0.500 0.000
```

VASP energy (eV/atom): -4.50
Size of the total moment (μB/atom): 0.000